(1)
A geometry-optimized ZrAg2BiC structure. Source: Alexandria, functional GGA-PBE.

Cell lengths 5.479, 5.479, 4.097 Å; angles 90.00, 90.00, 90.00 degrees
Element x y z (fractional)
Zr 0.000 0.000 0.000
Ag 0.000 0.500 0.000
Ag 0.500 0.000 0.000
Bi 0.500 0.500 0.500
C 0.000 0.000 0.500

## Properties
- DFT formation energy: 1.15 eV per atom

---

(2)
A geometry-optimized Dy2TlSe structure. Source: Alexandria, functional GGA-PBE.

Cell lengths 8.335, 8.335, 8.335 Å; angles 27.26, 27.26, 27.26 degrees
Element x y z (fractional)
Dy 0.239 0.239 0.239
Dy 0.761 0.761 0.761
Tl 0.000 0.000 0.000
Se 0.500 0.500 0.500

## Properties
- Formation energy (no corrections): -1047 meV per atom
- Distance to the lowest polymorph of the same formula: 0.0 meV/atom

---

(3)
A geometry-optimized Sc5ZnIn2Pd2 structure. Source: Alexandria, functional GGA-PBE.

Cell lengths 11.232, 11.232, 3.352 Å; angles 90.00, 90.00, 90.00 degrees
Element x y z (fractional)
Sc 0.000 0.500 0.000
Sc 0.066 0.194 0.000
Sc 0.194 0.934 0.000
Sc 0.306 0.434 0.000
Sc 0.434 0.694 0.000
Sc 0.500 0.000 0.000
Sc 0.566 0.306 0.000
Sc 0.694 0.566 0.000
Sc 0.806 0.066 0.000
Sc 0.934 0.806 0.000
Zn 0.000 0.000 0.500
Zn 0.500 0.500 0.500
In 0.174 0.674 0.500
In 0.326 0.174 0.500
In 0.674 0.826 0.500
In 0.826 0.326 0.500
Pd 0.132 0.368 0.500
Pd 0.368 0.868 0.500
Pd 0.632 0.132 0.500
Pd 0.868 0.632 0.500

## Properties
- DFT formation energy: -0.52 eV per atom

---

The records above give, respectively, DFT total energy values of -4.32, -4.81, -5.40 eV per atom.